An optimized crystal structure of Nd2ZnAs4Pd3, computed with PBE.

Summary:
* ΔE_f: -7.76 eV per formula unit

a = 4.270 Å, b = 4.270 Å, c = 10.805 Å
α = 90.00°, β = 90.00°, γ = 90.00°
Sites, in units of the cell vectors:
Nd 0.000 0.500 0.748
Nd 0.500 0.000 0.252
As 0.000 0.500 0.362
As 0.500 0.500 0.000
As 0.000 0.000 0.000
As 0.500 0.000 0.638
Pd 0.500 0.000 0.865
Pd 0.000 0.500 0.135
Pd 0.000 0.000 0.500
Zn 0.500 0.500 0.500

***

An optimized crystal structure of Li3Dy2GaCu12, computed with PBE.

Summary:
* ΔE_f: -0.10 eV per formula unit

a = 6.498 Å, b = 6.498 Å, c = 6.498 Å
α = 83.51°, β = 83.51°, γ = 83.51°
Sites, in units of the cell vectors:
Cu 0.574 0.148 0.574
Cu 0.852 0.426 0.426
Cu 0.799 0.799 0.271
Cu 0.201 0.201 0.729
Cu 0.271 0.799 0.799
Cu 0.574 0.574 0.148
Cu 0.729 0.201 0.201
Cu 0.201 0.729 0.201
Cu 0.148 0.574 0.574
Cu 0.799 0.271 0.799
Cu 0.426 0.426 0.852
Cu 0.426 0.852 0.426
Dy 0.716 0.716 0.716
Dy 0.284 0.284 0.284
Li 0.500 0.000 0.000
Li 0.000 0.500 0.000
Li 0.000 0.000 0.500
Ga 0.000 0.000 0.000

***

An optimized crystal structure of NiI3, computed with PBE.

Summary:
* energy: -2.572 eV per atom

a = 3.533 Å, b = 9.006 Å, c = 7.254 Å
α = 128.37°, β = 104.09°, γ = 90.00°
Site moments in Bohr magnetons follow the coordinates.
Sites, in units of the cell vectors:
I 0.340 0.757 0.680  0.02
I 0.500 0.416 0.000  0.00
I 0.660 0.077 0.320  0.02
Ni 0.000 0.917 0.000  0.27

***

An optimized crystal structure of BeCrAs3, computed with PBE.

Summary:
* ΔE_f: 5.05 eV per formula unit
* E above lowest polymorph: 0.2411 eV per atom

a = 4.404 Å, b = 4.404 Å, c = 4.404 Å
α = 90.00°, β = 90.00°, γ = 90.00°
Sites, in units of the cell vectors:
As 0.500 0.000 0.000
As 0.000 0.500 0.000
As 0.000 0.000 0.500
Cr 0.500 0.500 0.500
Be 0.000 0.000 0.000

***

An optimized crystal structure of RbH6SeN2, computed with PBE.

Summary:
* energy: -4.564 eV per atom

a = 10.655 Å, b = 10.655 Å, c = 5.595 Å
α = 101.45°, β = 101.45°, γ = 143.16°
Sites, in units of the cell vectors:
H 0.523 0.413 0.916
H 0.413 0.523 0.416
H 0.739 0.830 0.108
H 0.785 0.546 0.562
H 0.215 0.454 0.438
H 0.261 0.170 0.892
H 0.830 0.739 0.608
H 0.477 0.587 0.084
H 0.454 0.215 0.938
H 0.587 0.477 0.584
H 0.546 0.785 0.062
H 0.170 0.261 0.392
N 0.782 0.632 0.678
N 0.632 0.782 0.178
N 0.218 0.368 0.322
N 0.368 0.218 0.822
Rb 0.830 0.170 0.750
Rb 0.170 0.830 0.250
Se 0.731 0.269 0.250
Se 0.269 0.731 0.750

***

An optimized crystal structure of BePb2W, computed with PBE.

Summary:
* ΔE_f: 4.54 eV per formula unit

a = 5.234 Å, b = 5.234 Å, c = 5.381 Å
α = 86.39°, β = 86.39°, γ = 34.18°
Sites, in units of the cell vectors:
Pb 0.513 0.513 0.498
Pb 0.987 0.987 0.002
W 0.250 0.250 0.250
Be 0.750 0.750 0.750

***

An optimized crystal structure of TiPd2CF, computed with PBE.

Summary:
* energy: -5.767 eV per atom

a = 3.923 Å, b = 4.739 Å, c = 3.923 Å
α = 90.00°, β = 90.00°, γ = 90.00°
Sites, in units of the cell vectors:
Pd 0.000 0.000 0.500
Pd 0.500 0.000 0.000
C 0.000 0.000 0.000
Ti 0.500 0.500 0.500
F 0.000 0.500 0.000

***

An optimized crystal structure of CeYMgPd, computed with PBE.

Summary:
* ΔE_f: -1.10 eV per formula unit

a = 5.192 Å, b = 5.192 Å, c = 5.192 Å
α = 60.00°, β = 60.00°, γ = 60.00°
Site moments in Bohr magnetons follow the coordinates.
Sites, in units of the cell vectors:
Mg 0.000 0.000 0.000  0.00
Y 0.750 0.750 0.750  0.01
Ce 0.250 0.250 0.250  0.66
Pd 0.500 0.500 0.500  -0.01

***

An optimized crystal structure of PrYCoRu, computed with PBE.

Summary:
* ΔE_f: -0.25 eV per formula unit

a = 4.881 Å, b = 4.881 Å, c = 4.881 Å
α = 60.00°, β = 60.00°, γ = 60.00°
Sites, in units of the cell vectors:
Ru 0.750 0.750 0.750
Co 0.250 0.250 0.250
Y 0.500 0.500 0.500
Pr 0.000 0.000 0.000

***

An optimized crystal structure of Ta4CuIr, computed with PBE.

Summary:
* ΔE_f: 2.67 eV per formula unit

a = 5.318 Å, b = 5.318 Å, c = 5.318 Å
α = 60.00°, β = 60.00°, γ = 60.00°
Sites, in units of the cell vectors:
Cu 0.750 0.750 0.750
Ta 0.875 0.375 0.375
Ta 0.375 0.375 0.875
Ta 0.375 0.875 0.375
Ta 0.375 0.375 0.375
Ir 0.000 0.000 0.000

***

An optimized crystal structure of RbCrSi2, computed with PBE.

Summary:
* E above lowest polymorph: 0.0000 eV per atom

a = 5.601 Å, b = 5.601 Å, c = 8.430 Å
α = 70.60°, β = 70.60°, γ = 90.00°
Site moments in Bohr magnetons follow the coordinates.
Sites, in units of the cell vectors:
Rb 0.000 0.000 0.000  0.00
Rb 0.750 0.250 0.500  0.00
Cr 0.250 0.750 0.500  2.05
Cr 0.500 0.500 0.000  2.05
Si 0.375 0.125 0.250  -0.10
Si 0.375 0.625 0.250  -0.10
Si 0.375 0.625 0.750  -0.11
Si 0.875 0.625 0.750  -0.13

***

An optimized crystal structure of ReAs2PdBr, computed with PBE.

Summary:
* E above lowest polymorph: 0.0000 eV per atom

a = 4.713 Å, b = 4.713 Å, c = 5.462 Å
α = 90.00°, β = 90.00°, γ = 90.00°
Sites, in units of the cell vectors:
As 0.500 0.000 0.000
As 0.000 0.500 0.000
Pd 0.500 0.500 0.500
Re 0.000 0.000 0.000
Br 0.000 0.000 0.500